Version 1
Below is BePbBr2 after structural relaxation, with properties calculated at the GGA-PBE level.

## Properties
Its space group is Immm. As for the density of states at the Fermi level: 2.41 states/eV/f.u. The mass density is 4.8 g cm⁻³.

a = 7.129 Å, b = 7.129 Å, c = 7.129 Å
α = 153.54°, β = 125.21°, γ = 61.84°
Fractional positions:
Be: 0.250 0.750 0.500
Br: 0.382 0.382 0.000
Br: 0.118 0.118 0.000
Pb: 0.750 0.250 0.500



Version 2
Below is BePbBr2 after structural relaxation, with properties calculated at the GGA-PBE level.

## Properties
Its space group is P4mm. As for the density of states at the Fermi level: 0.66 states/eV/f.u. The mass density is 5.9 g cm⁻³.

a = 3.456 Å, b = 3.456 Å, c = 8.846 Å
α = 90.00°, β = 90.00°, γ = 90.00°
Fractional positions:
Pb: 0.000 0.000 0.501
Be: 0.500 0.500 0.952
Br: 0.500 0.500 0.184
Br: 0.000 0.000 0.863



Most stable one: version 2, least stable one: version 1.



Version 1
Below is TcRh2Br after structural relaxation, with properties calculated at the GGA-PBE level.

## Properties
Its space group is R-3m. As for the density of states at the Fermi level: 4.04 states/eV/f.u. The mass density is 10.0 g cm⁻³.

a = 9.102 Å, b = 9.102 Å, c = 9.102 Å
α = 18.11°, β = 18.11°, γ = 18.11°
Fractional positions:
Rh: 0.506 0.506 0.506
Rh: 0.994 0.994 0.994
Tc: 0.250 0.250 0.250
Br: 0.750 0.750 0.750



Version 2
Below is TcRh2Br after structural relaxation, with properties calculated at the GGA-PBE level.

## Properties
Its space group is Pmmm. As for the density of states at the Fermi level: 5.13 states/eV/f.u. The mass density is 10.2 g cm⁻³.

a = 2.892 Å, b = 4.669 Å, c = 4.632 Å
α = 90.00°, β = 90.00°, γ = 90.00°
Last column: magnetic moment on the atom in μB.
Fractional positions:
Br: 0.000 0.500 0.500  0.01
Rh: 0.500 0.500 0.000  0.26
Rh: 0.000 0.000 0.000  0.21
Tc: 0.500 0.000 0.500  1.08



Most stable one: version 1, least stable one: version 2.



Version 1
Below is KLiIr after structural relaxation, with properties calculated at the GGA-PBE level.

## Properties
Its space group is Fmm2. As for the density of states at the Fermi level: 2.83 states/eV/f.u. The mass density is 6.6 g cm⁻³.

a = 8.512 Å, b = 8.314 Å, c = 2.843 Å
α = 84.24°, β = 76.35°, γ = 19.41°
Fractional positions:
Ir: 0.013 0.013 0.987
K: 0.352 0.352 0.648
Li: 0.635 0.635 0.365



Version 2
Below is KLiIr after structural relaxation, with properties calculated at the GGA-PBE level.

## Properties
Its space group is Imm2. As for the density of states at the Fermi level: 0.76 states/eV/f.u. The mass density is 6.1 g cm⁻³.

a = 6.201 Å, b = 6.201 Å, c = 6.201 Å
α = 155.57°, β = 138.75°, γ = 48.52°
Fractional positions:
K: 0.341 0.341 0.000
Ir: 0.049 0.049 0.000
Li: 0.610 0.610 0.000



Most stable one: version 2, least stable one: version 1.



Version 1
Below is Y2TaRe after structural relaxation, with properties calculated at the GGA-PBE level.

## Properties
Its space group is C2/m. As for the density of states at the Fermi level: 5.35 states/eV/f.u. The mass density is 10.7 g cm⁻³.

a = 5.824 Å, b = 5.784 Å, c = 3.003 Å
α = 81.83°, β = 76.50°, γ = 116.29°
Fractional positions:
Y: 0.000 0.000 0.000
Y: 0.500 0.000 0.500
Re: 0.000 0.500 0.500
Ta: 0.500 0.500 0.000



Version 2
Below is Y2TaRe after structural relaxation, with properties calculated at the GGA-PBE level.

## Properties
Its space group is I-4m2. As for the density of states at the Fermi level: 6.16 states/eV/f.u. The mass density is 10.7 g cm⁻³.

a = 4.931 Å, b = 4.931 Å, c = 4.931 Å
α = 120.21°, β = 120.21°, γ = 89.64°
Fractional positions:
Ta: 0.750 0.250 0.500
Y: 0.250 0.750 0.500
Y: 0.000 0.000 0.000
Re: 0.500 0.500 0.000



Most stable one: version 2, least stable one: version 1.



Version 1
Below is GaTc2Ge2 after structural relaxation, with properties calculated at the GGA-PBE level.

## Properties
Its space group is I4/mmm. As for the density of states at the Fermi level: 2.19 states/eV/f.u. The mass density is 8.6 g cm⁻³.

a = 3.515 Å, b = 3.515 Å, c = 6.915 Å
α = 75.28°, β = 75.28°, γ = 90.00°
Fractional positions:
Tc: 0.605 0.605 0.789
Tc: 0.395 0.395 0.211
Ga: 0.000 0.000 0.000
Ge: 0.750 0.250 0.500
Ge: 0.250 0.750 0.500



Version 2
Below is GaTc2Ge2 after structural relaxation, with properties calculated at the GGA-PBE level.

## Properties
Its space group is P4/mbm. As for the density of states at the Fermi level: 2.27 states/eV/f.u. The mass density is 8.8 g cm⁻³.

a = 6.941 Å, b = 6.941 Å, c = 3.230 Å
α = 90.00°, β = 90.00°, γ = 90.00°
Fractional positions:
Ge: 0.854 0.354 0.500
Ge: 0.354 0.146 0.500
Ge: 0.146 0.646 0.500
Ge: 0.646 0.854 0.500
Ga: 0.000 0.000 0.000
Ga: 0.500 0.500 0.000
Tc: 0.349 0.849 0.000
Tc: 0.151 0.349 0.000
Tc: 0.849 0.651 0.000
Tc: 0.651 0.151 0.000



Most stable one: version 2, least stable one: version 1.



Version 1
Below is PmGaHg after structural relaxation, with properties calculated at the GGA-PBE level.

## Properties
Its space group is Fdd2. As for the density of states at the Fermi level: 2.25 states/eV/f.u. The mass density is 9.2 g cm⁻³.

a = 5.400 Å, b = 5.400 Å, c = 6.348 Å
α = 104.94°, β = 104.94°, γ = 113.19°
Fractional positions:
Ga: 0.061 0.939 0.500
Ga: 0.311 0.689 0.000
Hg: 0.622 0.378 0.000
Hg: 0.372 0.628 0.500
Pm: 0.973 0.027 0.000
Pm: 0.723 0.277 0.500



Version 2
Below is PmGaHg after structural relaxation, with properties calculated at the GGA-PBE level.

## Properties
Its space group is P3m1. As for the density of states at the Fermi level: 1.57 states/eV/f.u. The mass density is 9.7 g cm⁻³.

a = 3.699 Å, b = 4.717 Å, c = 4.717 Å
α = 120.00°, β = 90.00°, γ = 90.00°
Fractional positions:
Pm: 0.666 0.667 0.333
Ga: 0.170 0.333 0.667
Hg: 0.164 0.000 0.000



Most stable one: version 2, least stable one: version 1.



Version 1
Below is ReIr2Cl after structural relaxation, with properties calculated at the GGA-PBE level.

## Properties
Its space group is Cmmm. As for the density of states at the Fermi level: 4.36 states/eV/f.u. The mass density is 16.6 g cm⁻³.

a = 4.878 Å, b = 4.878 Å, c = 2.744 Å
α = 90.00°, β = 90.00°, γ = 111.51°
Fractional positions:
Cl: 0.000 0.500 0.500
Ir: 0.500 0.500 0.000
Ir: 0.000 0.000 0.000
Re: 0.500 0.000 0.500



Version 2
Below is ReIr2Cl after structural relaxation, with properties calculated at the GGA-PBE level.

## Properties
Its space group is P4mm. As for the density of states at the Fermi level: 5.53 states/eV/f.u. The mass density is 14.8 g cm⁻³.

a = 2.791 Å, b = 2.791 Å, c = 8.705 Å
α = 90.00°, β = 90.00°, γ = 90.00°
Fractional positions:
Ir: 0.500 0.500 0.279
Ir: 0.000 0.000 0.056
Re: 0.000 0.000 0.485
Cl: 0.500 0.500 0.680



Most stable one: version 2, least stable one: version 1.



Version 1
Below is Ca2YMn after structural relaxation, with properties calculated at the GGA-PBE level.

## Properties
Its space group is P4mm. As for the density of states at the Fermi level: 3.05 states/eV/f.u. The mass density is 3.0 g cm⁻³.

a = 3.674 Å, b = 3.674 Å, c = 9.207 Å
α = 90.00°, β = 90.00°, γ = 90.00°
Last column: magnetic moment on the atom in μB.
Fractional positions:
Mn: 0.000 0.000 0.518  3.59
Ca: 0.500 0.500 0.308  -0.06
Ca: 0.000 0.000 0.987  -0.01
Y: 0.500 0.500 0.687  -0.28



Version 2
Below is Ca2YMn after structural relaxation, with properties calculated at the GGA-PBE level.

## Properties
Its space group is Fd-3m. As for the density of states at the Fermi level: 2.06 states/eV/f.u. The mass density is 2.7 g cm⁻³.

a = 7.289 Å, b = 7.289 Å, c = 7.292 Å
α = 60.01°, β = 60.01°, γ = 90.00°
Fractional positions:
Ca: 0.374 0.125 0.250
Ca: 0.875 0.624 0.750
Ca: 0.376 0.625 0.250
Ca: 0.375 0.626 0.750
Y: 0.750 0.250 0.500
Y: 0.000 0.000 0.000
Mn: 0.500 0.500 0.000
Mn: 0.250 0.750 0.500



Most stable one: version 1, least stable one: version 2.



Version 1
Below is CaMo2Ru after structural relaxation, with properties calculated at the GGA-PBE level.

## Properties
Its space group is R-3m. As for the density of states at the Fermi level: 5.22 states/eV/f.u. The mass density is 7.9 g cm⁻³.

a = 9.927 Å, b = 9.927 Å, c = 9.927 Å
α = 16.68°, β = 16.68°, γ = 16.68°
Fractional positions:
Mo: 0.510 0.510 0.510
Mo: 0.990 0.990 0.990
Ca: 0.750 0.750 0.750
Ru: 0.250 0.250 0.250



Version 2
Below is CaMo2Ru after structural relaxation, with properties calculated at the GGA-PBE level.

## Properties
Its space group is P4/mmm. As for the density of states at the Fermi level: 4.33 states/eV/f.u. The mass density is 8.2 g cm⁻³.

a = 4.796 Å, b = 4.796 Å, c = 2.948 Å
α = 90.00°, β = 90.00°, γ = 90.00°
Fractional positions:
Mo: 0.500 0.500 0.000
Mo: 0.000 0.000 0.000
Ru: 0.500 0.000 0.500
Ca: 0.000 0.500 0.500



Most stable one: version 1, least stable one: version 2.